[1]
Here is Sr2PrTl after structural relaxation from the Alexandria database. Energies are from PBE-GGA.

Cell: 3.8449 3.8449 10.5380 Å, 90.00 90.00 90.00°
Space group P4/mmm (No. 123)
Asymmetric unit:
Sr: 0.0000 0.0000 0.2123 (multiplicity 2)
Pr: 0.5000 0.5000 0.5000 (multiplicity 1)
Tl: 0.5000 0.5000 0.0000 (multiplicity 1)

Computed properties:
- N(E_F): 1.111 states/eV per atom
- Spin magnetization: 0.0 μB per cell
- ΔE to the lowest computed polymorph: 0.00 eV/f.u.
- Formation energy from the elements: -109 meV/atom

[2]
Here is SrPrTl4 after structural relaxation from the Alexandria database. Energies are from PBE-GGA.

Cell: 9.0433 9.0433 9.0433 Å, 90.00 90.00 90.00°
Space group F-43m (No. 216)
Asymmetric unit:
Sr: 0.0000 0.0000 0.0000 (multiplicity 4)
Pr: 0.2500 0.2500 0.2500 (multiplicity 4)
Tl: 0.1245 0.1245 0.6245 (multiplicity 16)

Computed properties:
- N(E_F): 0.938 states/eV per atom
- Spin magnetization: 0.0 μB per cell
- ΔE to the lowest computed polymorph: 0.70 eV/f.u.
- Formation energy from the elements: -187 meV/atom

[3]
Here is Sr3PrTl12 after structural relaxation from the Alexandria database. Energies are from PBE-GGA.

Cell: 4.9816 4.9816 19.6078 Å, 90.00 90.00 90.00°
Space group P4/mmm (No. 123)
Asymmetric unit:
Sr: 0.0000 0.0000 0.0000 (multiplicity 1)
Sr: 0.0000 0.0000 0.2542 (multiplicity 2)
Pr: 0.0000 0.0000 0.5000 (multiplicity 1)
Tl: 0.0000 0.5000 0.1267 (multiplicity 4)
Tl: 0.0000 0.5000 0.3790 (multiplicity 4)
Tl: 0.5000 0.5000 0.0000 (multiplicity 1)
Tl: 0.5000 0.5000 0.2511 (multiplicity 2)
Tl: 0.5000 0.5000 0.5000 (multiplicity 1)

Computed properties:
- N(E_F): 0.682 states/eV per atom
- Spin magnetization: 0.0 μB per cell
- Formation energy from the elements: -265 meV/atom

[4]
Here is SrPrTl4 after structural relaxation from the Alexandria database. Energies are from PBE-GGA.

Cell: 8.8857 5.1569 8.3486 Å, 90.00 90.28 90.00°
Space group C2/m (No. 12)
Asymmetric unit:
Sr: 0.0000 0.0000 0.0000 (multiplicity 2)
Pr: 0.0000 0.0000 0.5000 (multiplicity 2)
Tl: 0.1664 0.5000 0.2134 (multiplicity 4)
Tl: 0.1668 0.5000 0.6708 (multiplicity 4)

Computed properties:
- N(E_F): 0.606 states/eV per atom
- Spin magnetization: 0.0 μB per cell
- ΔE to the lowest computed polymorph: 0.00 eV/f.u.
- Formation energy from the elements: -303 meV/atom

[5]
Here is Sr2Pr2Tl3 after structural relaxation from the Alexandria database. Energies are from PBE-GGA.

Cell: 7.9527 15.7873 5.4599 Å, 90.00 133.29 90.00°
Space group C2/m (No. 12)
Asymmetric unit:
Sr: 0.0000 0.1184 0.0000 (multiplicity 4)
Pr: 0.0000 0.3728 0.0000 (multiplicity 4)
Tl: 0.0000 0.2500 0.5000 (multiplicity 4)
Tl: 0.0000 0.5000 0.5000 (multiplicity 2)

Computed properties:
- N(E_F): 0.807 states/eV per atom
- Spin magnetization: 0.0 μB per cell
- ΔE to the lowest computed polymorph: 0.07 eV/f.u.
- Formation energy from the elements: -277 meV/atom

[6]
Here is SrPr2Tl9 after structural relaxation from the Alexandria database. Energies are from PBE-GGA.

Cell: 4.8935 4.8935 14.7243 Å, 90.00 90.00 90.00°
Space group P4/mmm (No. 123)
Asymmetric unit:
Sr: 0.0000 0.0000 0.0000 (multiplicity 1)
Pr: 0.0000 0.0000 0.3393 (multiplicity 2)
Tl: 0.0000 0.5000 0.1719 (multiplicity 4)
Tl: 0.0000 0.5000 0.5000 (multiplicity 2)
Tl: 0.5000 0.5000 0.0000 (multiplicity 1)
Tl: 0.5000 0.5000 0.3335 (multiplicity 2)

Computed properties:
- N(E_F): 0.465 states/eV per atom
- Spin magnetization: 0.0 μB per cell
- Formation energy from the elements: -302 meV/atom

[7]
Here is Sr2Pr2Tl3 after structural relaxation from the Alexandria database. Energies are from PBE-GGA.

Cell: 5.5258 5.5258 28.3739 Å, 90.00 90.00 120.00°
Space group R-3m (No. 166, hexagonal axes)
Asymmetric unit:
Sr: 0.0000 0.0000 0.1279 (multiplicity 6)
Pr: 0.0000 0.0000 0.3772 (multiplicity 6)
Tl: 0.0000 0.0000 0.0000 (multiplicity 3)
Tl: 0.0000 0.0000 0.2536 (multiplicity 6)

Computed properties:
- N(E_F): 1.089 states/eV per atom
- Spin magnetization: 0.0 μB per cell
- ΔE to the lowest computed polymorph: 0.00 eV/f.u.
- Formation energy from the elements: -286 meV/atom

[8]
Here is Sr5PrTl6 after structural relaxation from the Alexandria database. Energies are from PBE-GGA.

Cell: 5.7576 8.1188 9.1147 Å, 90.00 108.17 90.00°
Space group P2/m (No. 10)
Asymmetric unit:
Sr: 0.0000 0.0000 0.0000 (multiplicity 1)
Sr: 0.3305 0.5000 0.6615 (multiplicity 2)
Sr: 0.3314 0.0000 0.6633 (multiplicity 2)
Pr: 0.0000 0.5000 0.0000 (multiplicity 1)
Tl: 0.1616 0.2566 0.3236 (multiplicity 4)
Tl: 0.5000 0.2600 0.0000 (multiplicity 2)

Computed properties:
- N(E_F): 0.622 states/eV per atom
- Spin magnetization: 0.0 μB per cell
- Formation energy from the elements: -416 meV/atom

[9]
Here is SrPr2Tl4 after structural relaxation from the Alexandria database. Energies are from PBE-GGA.

Cell: 5.4513 5.4513 16.2520 Å, 90.00 90.00 90.00°
Space group I4/mmm (No. 139)
Asymmetric unit:
Sr: 0.0000 0.0000 0.0000 (multiplicity 2)
Pr: 0.0000 0.0000 0.2510 (multiplicity 4)
Tl: 0.0000 0.5000 0.1263 (multiplicity 8)

Computed properties:
- N(E_F): 0.683 states/eV per atom
- Spin magnetization: 0.0 μB per cell
- Formation energy from the elements: -228 meV/atom

[10]
Here is Sr2PrTl after structural relaxation from the Alexandria database. Energies are from PBE-GGA.

Cell: 3.8872 3.8872 37.8703 Å, 90.00 90.00 120.00°
Space group R-3m (No. 166, hexagonal axes)
Asymmetric unit:
Sr: 0.0000 0.0000 0.0980 (multiplicity 6)
Pr: 0.0000 0.0000 0.0000 (multiplicity 3)
Tl: 0.0000 0.0000 0.5000 (multiplicity 3)

Computed properties:
- N(E_F): 1.121 states/eV per atom
- Spin magnetization: 1.8 μB per cell
- ΔE to the lowest computed polymorph: 0.75 eV/f.u.
- Formation energy from the elements: 77 meV/atom

[11]
Here is Sr2PrTl after structural relaxation from the Alexandria database. Energies are from PBE-GGA.

Cell: 5.1752 5.1752 5.5290 Å, 90.00 90.00 90.00°
Space group P4/mmm (No. 123)
Asymmetric unit:
Sr: 0.0000 0.5000 0.0000 (multiplicity 2)
Pr: 0.0000 0.0000 0.5000 (multiplicity 1)
Tl: 0.5000 0.5000 0.5000 (multiplicity 1)

Computed properties:
- N(E_F): 0.507 states/eV per atom
- Spin magnetization: 0.0 μB per cell
- ΔE to the lowest computed polymorph: 0.06 eV/f.u.
- Formation energy from the elements: -93 meV/atom

[12]
Here is SrPrY after structural relaxation from the Alexandria database. Energies are from PBE-GGA.

Cell: 3.7922 3.7922 9.4236 Å, 90.00 90.00 120.00°
Space group P3m1 (No. 156)
Asymmetric unit:
Sr: 0.0000 0.0000 0.0000 (multiplicity 1)
Pr: 0.3333 0.6667 0.6409 (multiplicity 1)
Y: 0.6667 0.3333 0.3456 (multiplicity 1)

Computed properties:
- N(E_F): 1.396 states/eV per atom
- Spin magnetization: 0.0 μB per cell
- ΔE to the lowest computed polymorph: 0.04 eV/f.u.
- Formation energy from the elements: 114 meV/atom